1.
# Dy5Ga2Si2 | the Alexandria database | GGA-PBE | relaxed
# Mass density in g/cm3: 7.8
# M_tot in μB per cell: 0.0
# ΔE_f (raw) in meV per atom: -631
# V in Å³/cell: 864
# Density of states at the Fermi level in states/eV per atom: 0.953
data_Dy5Ga2Si2
_chemical_formula_sum 'Dy20 Ga8 Si8'
_cell_length_a 15.053
_cell_length_b 7.579
_cell_length_c 7.573
_cell_angle_alpha 90.00
_cell_angle_beta 90.00
_cell_angle_gamma 90.00
_symmetry_space_group_name_H-M 'C m c e'
_symmetry_Int_Tables_number 64
_symmetry_space_group_name_Hall '-C 2ac 2'
loop_
_atom_site_label
_atom_site_type_symbol
_atom_site_fract_x
_atom_site_fract_y
_atom_site_fract_z
_atom_site_occupancy
Dy1 Dy 0.000 0.000 0.000 1
Dy2 Dy 0.135 0.185 0.321 1
Ga1 Ga 0.214 0.000 0.000 1
Si1 Si 0.000 0.115 0.618 1

2.
# CoAgHg2 | the Alexandria database | GGA-PBE | relaxed
# Mass density in g/cm3: 12.7
# DFT formation energy in eV per atom: 0.430
# M_tot in μB per cell: 3.0
# V in Å³/cell: 148
# Relative energy among the computed polymorphs in eV/atom: 0.1042
# Density of states at the Fermi level in states/eV per atom: 1.190
data_CoAgHg2
_chemical_formula_sum 'Co2 Ag2 Hg4'
_cell_length_a 3.329
_cell_length_b 4.867
_cell_length_c 9.135
_cell_angle_alpha 90.00
_cell_angle_beta 90.00
_cell_angle_gamma 90.00
_symmetry_space_group_name_H-M 'I m m m'
_symmetry_Int_Tables_number 71
_symmetry_space_group_name_Hall '-I 2 2'
loop_
_atom_site_label
_atom_site_type_symbol
_atom_site_fract_x
_atom_site_fract_y
_atom_site_fract_z
_atom_site_occupancy
Co1 Co 0.000 0.000 0.000 1
Ag1 Ag 0.000 0.000 0.500 1
Hg1 Hg 0.000 0.500 0.270 1

3.
# LiInSCl2 | the Alexandria database | GGA-PBE | relaxed
# Mass density in g/cm3: 3.4
# M_tot in μB per cell: 0.7
# ΔE_f (raw) in meV per atom: -497
# V in Å³/cell: 109
# Relative energy among the computed polymorphs in eV/atom: 0.2409
# Density of states at the Fermi level in states/eV per atom: 0.798
data_LiInSCl2
_chemical_formula_sum 'Li1 In1 S1 Cl2'
_cell_length_a 4.451
_cell_length_b 4.451
_cell_length_c 5.478
_cell_angle_alpha 90.00
_cell_angle_beta 90.00
_cell_angle_gamma 90.00
_symmetry_space_group_name_H-M 'P 4/m m m'
_symmetry_Int_Tables_number 123
_symmetry_space_group_name_Hall '-P 4 2'
loop_
_atom_site_label
_atom_site_type_symbol
_atom_site_fract_x
_atom_site_fract_y
_atom_site_fract_z
_atom_site_occupancy
Li1 Li 0.000 0.000 0.000 1
In1 In 0.500 0.500 0.500 1
S1 S 0.000 0.000 0.500 1
Cl1 Cl 0.000 0.500 0.000 1

Number 1: electronic total energy -5.0658 eV/atom. Number 2: electronic total energy -2.2099 eV/atom. Number 3: electronic total energy -2.9920 eV/atom.